LiHg2Ge: relaxed, PBE.

DOS(E_F): 1.85 states/eV/cell
Formation energy from the elements: -53 meV/atom
Volume: 81.46 Å³ per cell
E_tot: -1.84 eV/atom

a = 4.440 Å, b = 4.440 Å, c = 4.133 Å
α = 90.00°, β = 90.00°, γ = 90.00°
Element x y z (fractional)
1 Li 0.000 0.000 0.000
2 Hg 0.000 0.500 0.500
3 Hg 0.500 0.000 0.500
4 Ge 0.500 0.500 0.000

NaPu2InCl8: relaxed, PBE.

Raw formation energy: -1.694 eV per atom
DOS(E_F): 21.06 states/eV/cell
Volume: 394.34 Å³ per cell
E_tot: -5.65 eV/atom

a = 6.718 Å, b = 8.530 Å, c = 6.896 Å
α = 90.00°, β = 93.70°, γ = 90.00°
Element x y z (fractional)
1 Na 0.000 0.000 0.000
2 Pu 0.500 0.245 0.500
3 Pu 0.500 0.755 0.500
4 In 0.000 0.500 0.000
5 Cl 0.244 0.231 0.187
6 Cl 0.244 0.769 0.187
7 Cl 0.292 0.000 0.654
8 Cl 0.295 0.500 0.641
9 Cl 0.705 0.500 0.359
10 Cl 0.708 0.000 0.346
11 Cl 0.756 0.231 0.813
12 Cl 0.756 0.769 0.813

TlGe2Sb2: relaxed, PBE.

Polymorph energy (0 for the lowest one): 13 meV per atom
Raw formation energy: 0.151 eV per atom
DOS(E_F): 2.70 states/eV/cell
Volume: 150.05 Å³ per cell
E_tot: -3.82 eV/atom

a = 7.759 Å, b = 7.759 Å, c = 7.759 Å
α = 145.38°, β = 145.38°, γ = 49.77°
Element x y z (fractional)
1 Tl 0.000 0.000 0.000
2 Ge 0.250 0.750 0.500
3 Ge 0.750 0.250 0.500
4 Sb 0.370 0.370 0.000
5 Sb 0.630 0.630 0.000

Y4AlHgO: relaxed, PBE.

Raw formation energy: -1.060 eV per atom
DOS(E_F): 8.38 states/eV/cell
Volume: 340.09 Å³ per cell
E_tot: -6.04 eV/atom

a = 8.531 Å, b = 8.531 Å, c = 6.573 Å
α = 90.00°, β = 90.00°, γ = 134.70°
Element x y z (fractional)
1 Y 0.000 0.500 0.000
2 Y 0.000 0.500 0.500
3 Y 0.075 0.925 0.750
4 Y 0.423 0.577 0.750
5 Y 0.500 0.000 0.000
6 Y 0.500 0.000 0.500
7 Y 0.577 0.423 0.250
8 Y 0.925 0.075 0.250
9 Al 0.383 0.617 0.250
10 Al 0.617 0.383 0.750
11 Hg 0.116 0.884 0.250
12 Hg 0.884 0.116 0.750
13 O 0.250 0.750 0.750
14 O 0.750 0.250 0.250

Ag2SbSe: relaxed, PBE.

Raw formation energy: 0.162 eV per atom
DOS(E_F): 1.22 states/eV/cell
Volume: 86.51 Å³ per cell
E_tot: -3.16 eV/atom

a = 5.781 Å, b = 5.781 Å, c = 5.781 Å
α = 137.70°, β = 137.70°, γ = 61.37°
Element x y z (fractional)
1 Ag 0.000 0.000 0.000
2 Ag 0.750 0.250 0.500
3 Sb 0.250 0.750 0.500
4 Se 0.500 0.500 0.000

SrTmMgCd: relaxed, PBE.

DOS(E_F): 3.95 states/eV/cell
Formation energy from the elements: -111 meV/atom
Volume: 118.96 Å³ per cell
E_tot: -2.28 eV/atom

a = 5.520 Å, b = 5.520 Å, c = 5.520 Å
α = 60.00°, β = 60.00°, γ = 60.00°
Element x y z (fractional)
1 Sr 0.000 0.000 0.000
2 Tm 0.500 0.500 0.500
3 Mg 0.250 0.250 0.250
4 Cd 0.750 0.750 0.750

Sc2SnRhC: relaxed, PBE.

Polymorph energy (0 for the lowest one): 0 meV per atom
DOS(E_F): 3.76 states/eV/cell
Formation energy from the elements: -564 meV/atom
Volume: 84.43 Å³ per cell
E_tot: -7.21 eV/atom

a = 4.511 Å, b = 4.511 Å, c = 4.149 Å
α = 90.00°, β = 90.00°, γ = 90.00°
Element x y z (fractional)
1 Sc 0.000 0.500 0.000
2 Sc 0.500 0.000 0.000
3 Sn 0.000 0.000 0.500
4 Rh 0.500 0.500 0.500
5 C 0.500 0.500 0.000

CaSi2Pt: relaxed, PBE.

Raw formation energy: -0.327 eV per atom
DOS(E_F): 1.29 states/eV/cell
Volume: 75.00 Å³ per cell
E_tot: -5.05 eV/atom

a = 5.614 Å, b = 5.614 Å, c = 5.614 Å
α = 149.77°, β = 121.59°, γ = 67.18°
Element x y z (fractional)
1 Ca 0.000 0.000 0.000
2 Si 0.284 0.784 0.500
3 Si 0.716 0.216 0.500
4 Pt 0.500 0.500 0.000

Pr6Ga2H: relaxed, PBE.

DOS(E_F): 20.37 states/eV/cell
Volume: 508.40 Å³ per cell
E_tot: -4.53 eV/atom

a = 6.535 Å, b = 8.374 Å, c = 11.186 Å
α = 90.00°, β = 123.84°, γ = 90.00°
Element x y z (fractional)
1 Pr 0.090 0.162 0.448
2 Pr 0.090 0.338 0.948
3 Pr 0.319 0.700 0.445
4 Pr 0.319 0.800 0.945
5 Pr 0.347 0.035 0.229
6 Pr 0.347 0.465 0.729
7 Pr 0.653 0.535 0.271
8 Pr 0.653 0.965 0.771
9 Pr 0.681 0.200 0.055
10 Pr 0.681 0.300 0.555
11 Pr 0.910 0.662 0.052
12 Pr 0.910 0.838 0.552
13 Ga 0.189 0.119 0.763
14 Ga 0.189 0.381 0.263
15 Ga 0.811 0.619 0.737
16 Ga 0.811 0.881 0.237
17 H 0.500 0.000 0.500
18 H 0.500 0.500 0.000

DyHo4Zn: relaxed, PBE.

Polymorph energy (0 for the lowest one): 0 meV per atom
DOS(E_F): 7.95 states/eV/cell
Formation energy from the elements: -99 meV/atom
Volume: 169.85 Å³ per cell
E_tot: -4.13 eV/atom

a = 3.533 Å, b = 3.533 Å, c = 13.610 Å
α = 90.00°, β = 90.00°, γ = 90.00°
Element x y z (fractional)
1 Dy 0.000 0.000 0.000
2 Ho 0.000 0.000 0.370
3 Ho 0.000 0.000 0.630
4 Ho 0.500 0.500 0.183
5 Ho 0.500 0.500 0.817
6 Zn 0.500 0.500 0.500

CuSbTe: relaxed, PBE.

Raw formation energy: 0.026 eV per atom
DOS(E_F): 1.62 states/eV/cell
Volume: 70.75 Å³ per cell
E_tot: -3.76 eV/atom

a = 4.018 Å, b = 4.018 Å, c = 5.060 Å
α = 90.00°, β = 90.00°, γ = 120.00°
Element x y z (fractional)
1 Cu 0.000 0.000 0.000
2 Sb 0.667 0.333 0.274
3 Te 0.333 0.667 0.730

BaAcI2: relaxed, PBE.

Raw formation energy: -0.990 eV per atom
DOS(E_F): 3.31 states/eV/cell
Volume: 187.69 Å³ per cell
E_tot: -3.27 eV/atom

a = 12.175 Å, b = 12.175 Å, c = 12.175 Å
α = 20.17°, β = 20.17°, γ = 20.17°
Element x y z (fractional)
1 Ba 0.000 0.000 0.000
2 Ac 0.500 0.500 0.500
3 I 0.099 0.099 0.099
4 I 0.901 0.901 0.901

TaNiPb2: relaxed, PBE.

Polymorph energy (0 for the lowest one): 584 meV per atom
DOS(E_F): 4.46 states/eV/cell
Formation energy from the elements: 747 meV/atom
Volume: 82.45 Å³ per cell
E_tot: -5.52 eV/atom

a = 4.885 Å, b = 4.885 Å, c = 4.885 Å
α = 60.00°, β = 60.00°, γ = 60.00°
Element x y z (fractional)
1 Ta 0.000 0.000 0.000
2 Ni 0.500 0.500 0.500
3 Pb 0.250 0.250 0.250
4 Pb 0.750 0.750 0.750

NdDy8Er6: relaxed, PBE.

DOS(E_F): 22.67 states/eV/cell
Formation energy from the elements: 136 meV/atom
Volume: 477.49 Å³ per cell
E_tot: -4.46 eV/atom

a = 8.580 Å, b = 8.580 Å, c = 8.580 Å
α = 63.11°, β = 63.11°, γ = 63.11°
Element x y z (fractional)
1 Nd 0.000 0.000 0.000
2 Dy 0.111 0.720 0.745
3 Dy 0.255 0.889 0.280
4 Dy 0.280 0.255 0.889
5 Dy 0.423 0.423 0.423
6 Dy 0.577 0.577 0.577
7 Dy 0.720 0.745 0.111
8 Dy 0.745 0.111 0.720
9 Dy 0.889 0.280 0.255
10 Er 0.106 0.538 0.236
11 Er 0.236 0.106 0.538
12 Er 0.462 0.764 0.894
13 Er 0.538 0.236 0.106
14 Er 0.764 0.894 0.462
15 Er 0.894 0.462 0.764

Tm4Te5Se: relaxed, PBE.

Raw formation energy: -1.366 eV per atom
DOS(E_F): 1.49 states/eV/cell
Volume: 328.93 Å³ per cell
E_tot: -5.07 eV/atom

a = 9.520 Å, b = 9.520 Å, c = 8.598 Å
α = 102.98°, β = 102.98°, γ = 25.70°
Element x y z (fractional)
1 Tm 0.003 0.003 0.250
2 Tm 0.331 0.331 0.907
3 Tm 0.669 0.669 0.093
4 Tm 0.997 0.997 0.750
5 Te 0.164 0.164 0.834
6 Te 0.165 0.165 0.334
7 Te 0.500 0.500 0.500
8 Te 0.835 0.835 0.666
9 Te 0.836 0.836 0.166
10 Se 0.500 0.500 0.000

YCr2Pt: relaxed, PBE.

Polymorph energy (0 for the lowest one): 15 meV per atom
DOS(E_F): 4.36 states/eV/cell
Formation energy from the elements: -88 meV/atom
Volume: 72.21 Å³ per cell
E_tot: -8.03 eV/atom

a = 4.674 Å, b = 4.674 Å, c = 4.674 Å
α = 60.00°, β = 60.00°, γ = 60.00°
Element x y z (fractional)
1 Y 0.000 0.000 0.000
2 Cr 0.250 0.250 0.250
3 Cr 0.500 0.500 0.500
4 Pt 0.750 0.750 0.750

SmIn3Ag3: relaxed, PBE.

DOS(E_F): 9.42 states/eV/cell
Formation energy from the elements: 355 meV/atom
Volume: 420.91 Å³ per cell
E_tot: -2.71 eV/atom

a = 7.494 Å, b = 7.494 Å, c = 7.494 Å
α = 90.00°, β = 90.00°, γ = 90.00°
Element x y z (fractional)
1 Sm 0.000 0.000 0.000
2 Sm 0.500 0.500 0.500
3 In 0.000 0.250 0.500
4 In 0.000 0.750 0.500
5 In 0.250 0.500 0.000
6 In 0.500 0.000 0.250
7 In 0.500 0.000 0.750
8 In 0.750 0.500 0.000
9 Ag 0.000 0.500 0.250
10 Ag 0.000 0.500 0.750
11 Ag 0.250 0.000 0.500
12 Ag 0.500 0.250 0.000
13 Ag 0.500 0.750 0.000
14 Ag 0.750 0.000 0.500

AcLaDyHg: relaxed, PBE.

Polymorph energy (0 for the lowest one): 235 meV per atom
DOS(E_F): 7.10 states/eV/cell
Formation energy from the elements: 9 meV/atom
Volume: 129.79 Å³ per cell
E_tot: -3.48 eV/atom

a = 5.683 Å, b = 5.683 Å, c = 5.683 Å
α = 60.00°, β = 60.00°, γ = 60.00°
Element x y z (fractional)
1 Ac 0.000 0.000 0.000
2 La 0.250 0.250 0.250
3 Dy 0.750 0.750 0.750
4 Hg 0.500 0.500 0.500

LiY2PaTe5: relaxed, PBE.

Raw formation energy: -1.039 eV per atom
DOS(E_F): 12.26 states/eV/cell
Volume: 528.74 Å³ per cell
E_tot: -5.49 eV/atom

a = 9.452 Å, b = 9.452 Å, c = 13.403 Å
α = 90.00°, β = 90.00°, γ = 153.80°
Element x y z (fractional)
1 Li 0.054 0.946 0.500
2 Li 0.946 0.054 0.000
3 Y 0.369 0.631 0.338
4 Y 0.394 0.606 0.729
5 Y 0.606 0.394 0.229
6 Y 0.631 0.369 0.838
7 Pa 0.299 0.701 0.052
8 Pa 0.701 0.299 0.552
9 Te 0.005 0.995 0.822
10 Te 0.132 0.868 0.044
11 Te 0.186 0.814 0.385
12 Te 0.217 0.783 0.715
13 Te 0.453 0.547 0.115
14 Te 0.547 0.453 0.615
15 Te 0.783 0.217 0.215
16 Te 0.814 0.186 0.885
17 Te 0.868 0.132 0.544
18 Te 0.995 0.005 0.322

Sc2PtAu2: relaxed, PBE.

Polymorph energy (0 for the lowest one): 158 meV per atom
DOS(E_F): 5.61 states/eV/cell
Formation energy from the elements: -601 meV/atom
Volume: 201.90 Å³ per cell
E_tot: -5.65 eV/atom

a = 7.290 Å, b = 7.290 Å, c = 3.799 Å
α = 90.00°, β = 90.00°, γ = 90.00°
Element x y z (fractional)
1 Sc 0.164 0.336 0.000
2 Sc 0.336 0.836 0.000
3 Sc 0.664 0.164 0.000
4 Sc 0.836 0.664 0.000
5 Pt 0.000 0.000 0.000
6 Pt 0.500 0.500 0.000
7 Au 0.137 0.637 0.500
8 Au 0.363 0.137 0.500
9 Au 0.637 0.863 0.500
10 Au 0.863 0.363 0.500